Entry 1:
Material: AlPWS2
Method: DFT, PBEsol
State: relaxed

The total energy comes out at -27.8 eV per formula unit. For the density of states at the Fermi level, the calculation gives 2.2 states/eV/cell. Its formation energy (no corrections) is 0.932 eV/atom.

Geometry as POSCAR:
```
AlPWS2
1.0
-3.855 -2.149 -0.400
1.973 -3.073 -2.511
0.957 -2.404 3.693
P S Al W
1 2 1 1
direct
0.000 0.000 0.500
0.000 0.500 0.000
0.500 0.000 0.000
0.000 0.000 0.000
0.500 0.500 0.500
```



Entry 2:
Material: AlZnPS2
Method: DFT, PBEsol
State: relaxed

The total energy comes out at -16.2 eV per formula unit. For the density of states at the Fermi level, the calculation gives 5.2 states/eV/cell. Its formation energy (no corrections) is 0.800 eV/atom.

Geometry as POSCAR:
```
AlZnPS2
1.0
-2.297 -0.153 3.854
2.187 -3.746 1.156
3.423 2.660 2.146
P Zn S Al
1 1 2 1
direct
0.500 0.500 0.500
0.000 0.000 0.000
0.000 0.500 0.000
0.500 0.000 0.000
0.000 0.000 0.500
```



What is the formation energy (no corrections) in the second record? 0.800 eV/atom